Na2PaGeN4 | Alexandria via LeMat-Bulk | PBE | optimized geometry; formation energy from raw total energies = -9.01 kcal/mol of atoms; symmetry = Pmn2_1
1.0
5.179 0.000 0.000
0.000 7.005 0.000
0.000 0.000 6.967
Na Pa Ge N
4 2 2 8
direct
0.461 0.359 0.251
0.461 0.359 0.749
0.961 0.641 0.751
0.961 0.641 0.249
0.966 0.132 0.500
0.466 0.868 0.000
0.499 0.830 0.500
0.999 0.170 0.000
0.363 0.153 0.000
0.863 0.847 0.500
0.396 0.091 0.500
0.896 0.909 0.000
0.427 0.709 0.735
0.927 0.291 0.235
0.927 0.291 0.765
0.427 0.709 0.265